# 1
## La6PrEr5 (GGA-PBE)

Data for crystalline La6PrEr5 at its relaxed geometry.

a b c (Å): 6.214 7.402 8.931
angles (deg): 90.00 87.31 89.94
Space group P-1 (No. 2)
Asymmetric unit:
La 0.000 0.247 0.000 (multiplicity 2)
La 0.330 0.249 0.336 (multiplicity 2)
La 0.330 0.752 0.336 (multiplicity 2)
Pr 0.500 0.500 0.000 (multiplicity 1)
Er 0.167 0.500 0.666 (multiplicity 2)
Er 0.170 0.000 0.667 (multiplicity 2)
Er 0.500 0.000 0.000 (multiplicity 1)

Output
The formation enthalpy at 0 K is 21 meV per atom. Its total magnetic moment is 0.0 μB per cell.

---

# 2
## In3Fe5 (GGA-PBE)

Data for crystalline In3Fe5 at its relaxed geometry.

a b c (Å): 7.8399 7.8399 4.8960
angles (deg): 90.00 90.00 120.00
Space group P6_3/mcm (No. 193)
Asymmetric unit:
In 0.0000 0.3948 0.2500 (multiplicity 6)
Fe 0.0000 0.1826 0.7500 (multiplicity 6)
Fe 0.3333 0.6667 0.0000 (multiplicity 4)

Output
The formation enthalpy at 0 K is 346 meV per atom. Its total magnetic moment is 24.9 μB per cell.

---

# 3
## Li12SiAg6 (GGA-PBE)

Data for crystalline Li12SiAg6 at its relaxed geometry.

a b c (Å): 9.7645 9.7645 11.8889
angles (deg): 90.00 90.00 120.00
Space group R-3 (No. 148, hexagonal axes)
Asymmetric unit:
Li 0.0390 0.8534 0.3197 (multiplicity 18)
Li 0.0593 0.2184 0.9107 (multiplicity 18)
Si 0.0000 0.0000 0.5000 (multiplicity 3)
Ag 0.0254 0.5918 0.2096 (multiplicity 18)

Output
Its total magnetic moment is 0.0 μB per cell. Its formation energy (no corrections) is -2.8 eV/f.u.